# 1
Here is a geometry-optimized NaU2NiO8 structure from Alexandria via LeMat-Bulk. Energies are from GGA+U.

Summary:
Calculated volume in Å³/atom: 13.3

abc: 4.798 4.798 6.935
angles: 90.00 90.00 87.74
Last column: magnetic moment on the atom in μB.
Fractional coordinates of all 12 atoms:
Na  0.000  0.000  0.500  0.00
U  0.500  0.500  0.753  0.14
U  0.500  0.500  0.247  0.14
Ni  0.000  0.000  0.000  2.11
O  0.202  0.797  0.214  0.11
O  0.692  0.693  0.000  0.04
O  0.798  0.203  0.214  0.11
O  0.798  0.203  0.786  0.11
O  0.308  0.307  0.000  0.04
O  0.202  0.797  0.786  0.11
O  0.675  0.677  0.500  0.01
O  0.325  0.323  0.500  0.01

=====

# 2
Here is a geometry-optimized NaUNi2O6 structure from Alexandria via LeMat-Bulk. Energies are from GGA+U.

Summary:
Calculated volume in Å³/atom: 12.0

abc: 5.727 5.727 5.727
angles: 55.73 55.73 55.73
Last column: magnetic moment on the atom in μB.
Fractional coordinates of all 10 atoms:
Na  0.486  0.486  0.486  0.00
U  0.002  0.002  0.002  0.09
Ni  0.204  0.204  0.204  1.68
Ni  0.692  0.692  0.692  1.59
O  0.411  0.043  0.840  -0.05
O  0.043  0.840  0.411  -0.05
O  0.936  0.301  0.585  -0.05
O  0.585  0.936  0.301  -0.05
O  0.840  0.411  0.043  -0.05
O  0.301  0.585  0.936  -0.05

=====

# 3
Here is a geometry-optimized Na2VNiO4 structure from Alexandria via LeMat-Bulk. Energies are from GGA+U.

Summary:
Calculated volume in Å³/atom: 10.7

abc: 3.071 5.631 5.210
angles: 72.04 90.00 90.00
Last column: magnetic moment on the atom in μB.
Fractional coordinates of all 8 atoms:
Na  0.000  0.000  0.000  0.00
Na  0.500  0.000  0.500  0.00
V  0.500  0.500  0.000  1.06
Ni  0.000  0.500  0.500  1.75
O  0.000  0.704  0.779  0.04
O  0.000  0.296  0.221  0.04
O  0.500  0.695  0.242  0.02
O  0.500  0.305  0.758  0.02

=====

# 4
Here is a geometry-optimized NaVNiO4 structure from Alexandria via LeMat-Bulk. Energies are from GGA+U.

Summary:
Calculated volume in Å³/atom: 13.7

abc: 5.445 5.746 6.363
angles: 90.00 105.98 90.00
Last column: magnetic moment on the atom in μB.
Fractional coordinates of all 14 atoms:
Na  0.742  0.750  0.956  0.00
Na  0.258  0.250  0.044  0.00
V  0.280  0.750  0.342  0.01
V  0.720  0.250  0.658  0.01
Ni  0.798  0.750  0.490  1.76
Ni  0.202  0.250  0.510  1.76
O  0.932  0.490  0.706  0.03
O  0.068  0.990  0.294  0.03
O  0.068  0.510  0.294  0.03
O  0.932  0.010  0.706  0.03
O  0.505  0.750  0.195  0.02
O  0.495  0.250  0.805  0.02
O  0.469  0.750  0.606  0.06
O  0.531  0.250  0.394  0.06

=====

# 5
Here is a geometry-optimized NaV2NiO6 structure from Alexandria via LeMat-Bulk. Energies are from GGA+U.

Summary:
Calculated volume in Å³/atom: 12.9

abc: 5.756 6.919 6.919
angles: 82.92 75.46 75.46
Last column: magnetic moment on the atom in μB.
Fractional coordinates of all 20 atoms:
Na  0.250  0.290  0.710  0.00
Na  0.750  0.710  0.290  0.00
V  0.233  0.811  0.616  0.65
V  0.267  0.384  0.189  0.65
V  0.767  0.189  0.384  0.65
V  0.733  0.616  0.811  0.65
Ni  0.250  0.917  0.083  1.78
Ni  0.750  0.083  0.917  1.78
O  0.136  0.980  0.807  0.00
O  0.364  0.193  0.020  0.00
O  0.864  0.020  0.193  0.00
O  0.636  0.807  0.980  0.00
O  0.283  0.910  0.373  -0.01
O  0.217  0.627  0.090  -0.01
O  0.717  0.090  0.627  -0.01
O  0.783  0.373  0.910  -0.01
O  0.033  0.636  0.655  -0.05
O  0.467  0.345  0.364  -0.05
O  0.967  0.364  0.345  -0.05
O  0.533  0.655  0.636  -0.05

=====

# 6
Here is a geometry-optimized Na2Ni2WO6 structure from Alexandria via LeMat-Bulk. Energies are from GGA+U.

Summary:
Calculated volume in Å³/atom: 12.0

abc: 5.239 5.239 5.853
angles: 99.83 99.83 118.93
Last column: magnetic moment on the atom in μB.
Fractional coordinates of all 11 atoms:
Na  0.822  0.178  0.000  0.00
Na  0.178  0.822  0.000  0.00
Ni  0.336  0.664  0.500  1.75
Ni  0.664  0.336  0.500  1.75
W  0.000  0.000  0.500  0.03
O  0.764  0.764  0.696  0.06
O  0.065  0.382  0.698  0.07
O  0.236  0.236  0.304  0.06
O  0.382  0.065  0.698  0.07
O  0.935  0.618  0.302  0.07
O  0.618  0.935  0.302  0.07

=====

| no. | VASP energy (eV per cell) |
| --- | --- |
| 1 | -94.32 |
| 2 | -65.91 |
| 3 | -46.05 |
| 4 | -84.22 |
| 5 | -131.80 |
| 6 | -62.74 |